Compound: KMn2Co
Source: Alexandria via LeMat-Bulk
Functional: PBE
Structure: relaxed

Results
Symmetry: Pmmm (47)
Formation energy from the elements in eV/atom: 1.233
ΔE to the lowest computed polymorph in meV/atom: 658

abc: 2.827 5.172 5.050
angles: 90.00 90.00 90.00
Last column: magnetic moment on the atom in μB.
Fractional coordinates of all 4 atoms:
Mn 0.000 0.000 0.000  3.68
Mn 0.500 0.500 0.000  3.76
K 0.000 0.500 0.500  -0.02
Co 0.500 0.000 0.500  1.77

=====

Compound: KMnCoS3
Source: Alexandria via LeMat-Bulk
Functional: PBE
Structure: relaxed

Results
Symmetry: P2_1/m (11)
Uncorrected formation energy in eV per atom: -0.700

abc: 3.522 8.165 9.027
angles: 115.23 90.00 90.00
Last column: magnetic moment on the atom in μB.
Fractional coordinates of all 12 atoms:
S 0.250 0.125 0.862  -0.09
Mn 0.250 0.690 0.161  2.71
S 0.250 0.523 0.866  -0.10
S 0.750 0.875 0.138  -0.09
K 0.750 0.759 0.739  0.00
S 0.750 0.477 0.134  -0.10
Co 0.250 0.085 0.608  -1.23
Co 0.750 0.915 0.392  -1.23
K 0.250 0.241 0.261  0.00
Mn 0.750 0.310 0.839  2.71
S 0.250 0.784 0.446  -0.10
S 0.750 0.216 0.554  -0.10

=====

Values of N(E_F), in order: 1.215 0.480, all in states/eV per atom.